The following is a DFT calculation (PBE) of a relaxed TbTlInTe3 crystal.

Cell and atoms, written as POSCAR:
```
TbTlInTe3
1.0
4.573 0.000 0.000
0.000 9.239 -0.596
0.000 -3.085 10.468
Te In Tl Tb
6 2 2 2
Direct
0.750 0.906 0.103
0.250 0.535 0.840
0.250 0.094 0.897
0.750 0.234 0.531
0.750 0.465 0.160
0.250 0.766 0.469
0.250 0.099 0.627
0.750 0.901 0.373
0.750 0.788 0.771
0.250 0.212 0.229
0.750 0.320 0.864
0.250 0.680 0.136
```

Values from the calculation:
Symmetry ... No. 11
Final energy ... -46.5 eV/cell
Raw formation energy ... -682 meV/atom

The following is a DFT calculation (PBE) of a relaxed TlGa2I8 crystal.

Cell and atoms, written as POSCAR:
```
TlGa2I8
1.0
9.481 0.000 0.000
0.000 7.347 -4.242
0.000 0.000 8.483
I Ga Tl
8 2 1
Direct
0.771 0.835 0.165
0.125 0.667 0.333
0.229 0.165 0.835
0.229 0.670 0.835
0.875 0.333 0.667
0.771 0.330 0.165
0.771 0.835 0.670
0.229 0.165 0.330
0.852 0.667 0.333
0.148 0.333 0.667
0.500 0.000 0.000
```

Values from the calculation:
Energy above the most stable polymorph in this dataset ... 60.1 meV per atom
Symmetry ... No. 164
Final energy ... -25.0 eV/cell
Raw formation energy ... -381 meV/atom

The following is a DFT calculation (PBE) of a relaxed Na2ReSi2 crystal.

Cell and atoms, written as POSCAR:
```
Na2ReSi2
1.0
-4.174 -1.658 -4.438
1.651 -6.053 0.709
-3.520 -0.549 3.516
Na Si Re
4 4 2
Direct
0.680 0.820 0.500
0.180 0.680 0.500
0.320 0.180 0.500
0.820 0.320 0.500
0.856 0.644 0.000
0.144 0.356 0.000
0.356 0.856 0.000
0.644 0.144 0.000
0.000 0.000 0.000
0.500 0.500 0.000
```

Values from the calculation:
Symmetry ... No. 127
Final energy ... -48.1 eV/cell
Raw formation energy ... 372 meV/atom

The following is a DFT calculation (PBE) of a relaxed Pm4Y19Er6 crystal.

Cell and atoms, written as POSCAR:
```
Pm4Y19Er6
1.0
-10.535 -1.504 2.025
5.789 -7.535 5.203
2.967 9.839 3.428
Y Pm Er
19 4 6
Direct
0.000 0.000 0.000
0.000 0.263 0.263
0.737 0.000 0.737
0.454 0.671 0.660
0.783 0.989 0.329
0.737 0.737 0.000
0.340 0.011 0.794
0.263 0.000 0.263
0.011 0.794 0.340
0.660 0.454 0.671
0.329 0.783 0.989
0.794 0.340 0.011
0.263 0.263 0.000
0.989 0.329 0.783
0.206 0.217 0.546
0.546 0.206 0.217
0.217 0.546 0.206
0.000 0.737 0.737
0.671 0.660 0.454
0.000 0.000 0.641
0.641 0.000 0.000
0.000 0.641 0.000
0.359 0.359 0.359
0.624 0.500 0.124
0.500 0.124 0.624
0.376 0.500 0.876
0.500 0.876 0.376
0.124 0.624 0.500
0.876 0.376 0.500
```

Values from the calculation:
ΔE_f ... 1085 kJ/mol of formula units
Symmetry ... No. 197
Final energy ... -158.0 eV/cell

The following is a DFT calculation (PBE) of a relaxed Rb2U3S8Br crystal.

Cell and atoms, written as POSCAR:
```
Rb2U3S8Br
1.0
7.957 0.000 0.000
3.978 6.891 0.000
3.978 2.297 8.489
S U Rb Br
8 3 2 1
Direct
0.721 0.721 0.838
0.279 0.279 0.164
0.765 0.765 0.159
0.311 0.765 0.159
0.691 0.238 0.833
0.238 0.691 0.833
0.765 0.311 0.159
0.238 0.238 0.833
0.997 0.502 0.998
0.502 0.502 0.998
0.502 0.997 0.998
0.502 0.502 0.494
0.142 0.142 0.573
0.839 0.839 0.484
```

Values from the calculation:
Symmetry ... No. 160
Final energy ... -87.7 eV/cell
Raw formation energy ... -1229 meV/atom

The following is a DFT calculation (PBE) of a relaxed SiAs2Au crystal.

Cell and atoms, written as POSCAR:
```
SiAs2Au
1.0
-1.840 -1.841 -1.073
2.049 0.595 -4.533
3.316 -3.891 0.989
Au As Si
1 2 1
Direct
0.500 0.000 0.500
0.000 0.000 0.000
0.500 0.500 0.000
0.000 0.500 0.500
```

Values from the calculation:
Symmetry ... No. 47
Final energy ... -16.5 eV/cell
Raw formation energy ... 378 meV/atom

The following is a DFT calculation (PBE) of a relaxed Tb5Pm8Nd crystal.

Cell and atoms, written as POSCAR:
```
Tb5Pm8Nd
1.0
8.188 0.000 -2.534
-4.218 6.823 -3.017
0.249 0.000 8.567
Pm Tb Nd
8 5 1
Direct
0.568 0.908 0.833
0.531 0.605 0.277
0.925 0.092 0.660
0.340 0.265 0.432
0.723 0.254 0.328
0.074 0.746 0.469
0.167 0.735 0.075
0.672 0.395 0.926
0.036 0.315 0.134
0.500 0.000 0.500
0.866 0.903 0.182
0.279 0.097 0.964
0.818 0.685 0.721
0.250 0.500 0.750
```

Values from the calculation:
ΔE_f ... 320 kJ/mol of formula units
Symmetry ... No. 82
Final energy ... -62.6 eV/cell

The following is a DFT calculation (PBE) of a relaxed KCd3Pb2 crystal.

Cell and atoms, written as POSCAR:
```
KCd3Pb2
1.0
-1.287 -2.087 -4.551
0.856 -9.350 1.110
-7.329 -5.707 1.754
Pb Cd K
4 6 2
Direct
0.500 0.175 0.825
0.500 0.825 0.175
0.821 0.679 0.679
0.179 0.321 0.321
0.683 0.526 0.107
0.000 0.660 0.340
0.317 0.474 0.893
0.683 0.108 0.526
0.000 0.340 0.660
0.317 0.892 0.474
0.868 0.132 0.133
0.132 0.868 0.867
```

Values from the calculation:
ΔE_f ... -19 kJ/mol of formula units
Symmetry ... No. 71
Final energy ... -22.9 eV/cell

The following is a DFT calculation (PBE) of a relaxed CoAsPb2 crystal.

Cell and atoms, written as POSCAR:
```
CoAsPb2
1.0
-2.353 1.183 -3.050
-2.010 -2.729 -2.180
-6.816 -0.026 2.572
Co As Pb
1 1 2
Direct
0.208 0.208 0.376
0.542 0.542 0.375
0.780 0.780 0.659
0.970 0.970 0.090
```

Values from the calculation:
ΔE_f ... -1 kJ/mol of formula units
Symmetry ... No. 8
Final energy ... -19.2 eV/cell

The following is a DFT calculation (PBE) of a relaxed NaCaAl2 crystal.

Cell and atoms, written as POSCAR:
```
NaCaAl2
1.0
4.715 0.000 0.000
0.000 4.715 0.000
2.358 2.358 10.424
Na Al Ca
2 4 2
Direct
0.500 0.500 0.000
0.250 0.750 0.500
0.505 0.125 0.250
0.375 0.495 0.750
0.875 0.755 0.750
0.245 0.625 0.250
0.000 0.000 0.000
0.750 0.250 0.500
```

Values from the calculation:
ΔE_f ... 125 kJ/mol of formula units
Energy above the most stable polymorph in this dataset ... 247.7 meV per atom
Symmetry ... No. 122
Final energy ... -19.0 eV/cell

The following is a DFT calculation (PBE) of a relaxed Li4Sn5Pb crystal.

Cell and atoms, written as POSCAR:
```
Li4Sn5Pb
1.0
-3.077 -0.878 1.085
-0.562 -1.625 -2.908
7.403 -16.392 7.732
Li Sn Pb
4 5 1
Direct
0.000 0.000 0.229
0.000 0.000 0.590
0.000 0.000 0.771
0.000 0.000 0.410
0.500 0.500 0.320
0.500 0.500 0.868
0.500 0.500 0.500
0.500 0.500 0.132
0.500 0.500 0.680
0.000 0.000 0.000
```

Values from the calculation:
ΔE_f ... -218 kJ/mol of formula units
Symmetry ... No. 123
Final energy ... -33.6 eV/cell

The following is a DFT calculation (PBE) of a relaxed TaHg2Te crystal.

Cell and atoms, written as POSCAR:
```
TaHg2Te
1.0
5.780 -0.013 0.000
-2.649 5.138 0.000
0.000 0.000 3.021
Te Ta Hg
1 1 2
Direct
0.000 0.500 0.500
0.500 0.000 0.500
0.000 0.000 0.000
0.500 0.500 0.000
```

Values from the calculation:
Symmetry ... No. 65
Final energy ... -13.5 eV/cell
Raw formation energy ... 516 meV/atom